No. 1
The following is a PBE calculation of a geometry-optimized Ag5SbO4 structure, from Alexandria via LeMat-Bulk.

## Properties
**Formation energy (no corrections)**: -0.44 eV per atom

a b c (Å): 3.1363 7.3047 6.8146
angles (deg): 101.55 103.30 90.00
Sites, in units of the cell vectors:
1 Ag 0.1744 0.3858 0.3488
2 Ag 0.1841 0.7824 0.3683
3 Ag 0.8159 0.2176 0.6317
4 Ag 0.5000 0.5000 0.0000
5 Ag 0.8256 0.6142 0.6512
6 Sb 0.5000 0.0000 0.0000
7 O 0.6489 0.0110 0.2978
8 O 0.0146 0.1915 0.0291
9 O 0.3511 0.9890 0.7022
10 O 0.9854 0.8085 0.9709

No. 2
The following is a PBE calculation of a geometry-optimized B5C3 structure, from Alexandria via LeMat-Bulk.

## Properties
**Formation energy**: 0.299 eV per atom
**ΔE to the lowest computed polymorph**: 30 meV/atom

a b c (Å): 12.5974 12.2427 12.5974
angles (deg): 12.43 12.28 12.43
Last column: magnetic moment on the atom in μB.
Sites, in units of the cell vectors:
1 B 0.6193 0.0003 0.6193  0.00
2 B 0.2888 0.7438 0.2888  0.00
3 B 0.6117 0.2351 0.6117  0.00
4 B 0.3445 0.0966 0.3445  0.05
5 B 0.9616 0.1773 0.9616  0.00
6 C 0.2800 0.8885 0.2800  0.00
7 C 0.0154 0.7550 0.0153  0.12
8 C 0.6288 0.8534 0.6288  0.00

No. 3
The following is a PBE calculation of a geometry-optimized PaCdPbAu structure, from Alexandria via LeMat-Bulk.

## Properties
**Formation energy**: -0.032 eV per atom

a b c (Å): 5.1474 5.1474 5.1474
angles (deg): 60.00 60.00 60.00
Last column: magnetic moment on the atom in μB.
Sites, in units of the cell vectors:
1 Pb 0.5000 0.5000 0.5000  0.00
2 Pa 0.2500 0.2500 0.2500  0.40
3 Au 0.0000 0.0000 0.0000  -0.01
4 Cd 0.7500 0.7500 0.7500  0.00

No. 4
The following is a PBE calculation of a geometry-optimized Ce4CSeS2 structure, from Alexandria via LeMat-Bulk.

## Properties
**Formation energy (no corrections)**: -1.48 eV per atom

a b c (Å): 3.9488 6.8822 7.0159
angles (deg): 71.07 90.00 90.00
Last column: magnetic moment on the atom in μB.
Sites, in units of the cell vectors:
1 Ce 0.0000 0.7455 0.7266  0.51
2 Ce 0.0000 0.2545 0.2734  0.51
3 Ce 0.5000 0.7279 0.2809  0.48
4 Ce 0.5000 0.2721 0.7191  0.48
5 C 0.0000 0.5000 0.5000  -0.03
6 Se 0.5000 0.5000 0.0000  -0.01
7 S 0.0000 0.0000 0.0000  -0.02
8 S 0.5000 0.0000 0.5000  -0.02

No. 5
The following is a PBE calculation of a geometry-optimized La3ErPd12 structure, from Alexandria via LeMat-Bulk.

## Properties
**Formation energy**: -0.823 eV per atom

a b c (Å): 4.2004 4.2004 16.7922
angles (deg): 90.00 90.00 90.00
Sites, in units of the cell vectors:
1 La 0.0000 0.0000 0.2447
2 La 0.0000 0.0000 0.5000
3 La 0.0000 0.0000 0.7553
4 Er 0.0000 0.0000 0.0000
5 Pd 0.5000 0.5000 0.0000
6 Pd 0.5000 0.5000 0.2468
7 Pd 0.5000 0.5000 0.5000
8 Pd 0.5000 0.5000 0.7532
9 Pd 0.5000 0.0000 0.1188
10 Pd 0.5000 0.0000 0.3733
11 Pd 0.5000 0.0000 0.6267
12 Pd 0.5000 0.0000 0.8812
13 Pd 0.0000 0.5000 0.1188
14 Pd 0.0000 0.5000 0.3733
15 Pd 0.0000 0.5000 0.6267
16 Pd 0.0000 0.5000 0.8812

No. 6
The following is a PBE calculation of a geometry-optimized AlCrAg2 structure, from Alexandria via LeMat-Bulk.

## Properties
**Formation energy**: 0.244 eV per atom

a b c (Å): 2.9693 3.9109 5.8146
angles (deg): 90.00 90.00 90.00
Last column: magnetic moment on the atom in μB.
Sites, in units of the cell vectors:
1 Cr 0.5000 0.5000 0.7500  3.58
2 Al 0.5000 0.5000 0.2500  -0.03
3 Ag 0.0000 0.0000 0.0020  0.03
4 Ag 0.0000 0.0000 0.4980  0.03

No. 7
The following is a PBE calculation of a geometry-optimized Cs3InNi structure, from Alexandria via LeMat-Bulk.

## Properties
**Formation energy**: 0.556 eV per atom
**ΔE to the lowest computed polymorph**: 0 meV/atom

a b c (Å): 6.5183 6.5183 6.5183
angles (deg): 90.00 90.00 90.00
Sites, in units of the cell vectors:
1 Cs 0.0000 0.5000 0.0000
2 Cs 0.0000 0.0000 0.5000
3 Cs 0.5000 0.0000 0.0000
4 Ni 0.0000 0.0000 0.0000
5 In 0.5000 0.5000 0.5000

No. 8
The following is a PBE calculation of a geometry-optimized Ba3Tl9Rh2 structure, from Alexandria via LeMat-Bulk.

## Properties
**Formation energy**: -0.187 eV per atom

a b c (Å): 4.8835 9.7144 9.7144
angles (deg): 76.23 75.44 75.44
Sites, in units of the cell vectors:
1 Ba 0.0000 0.0000 0.0000
2 Ba 0.6769 0.3231 0.3231
3 Ba 0.3231 0.6769 0.6769
4 Tl 0.0000 0.5000 0.5000
5 Tl 0.6695 0.9693 0.6918
6 Tl 0.3305 0.0307 0.3082
7 Tl 0.6695 0.6918 0.9693
8 Tl 0.3305 0.3082 0.0307
9 Tl 0.8868 0.8328 0.3936
10 Tl 0.1132 0.1672 0.6064
11 Tl 0.8868 0.3936 0.8328
12 Tl 0.1132 0.6064 0.1672
13 Rh 0.5000 0.2572 0.7428
14 Rh 0.5000 0.7428 0.2572

No. 9
The following is a PBE calculation of a geometry-optimized MgSnRu2 structure, from Alexandria via LeMat-Bulk.

## Properties
**Formation energy**: -0.136 eV per atom

a b c (Å): 4.4819 4.4819 4.4819
angles (deg): 60.00 60.00 60.00
Sites, in units of the cell vectors:
1 Ru 0.0000 0.0000 0.0000
2 Ru 0.5000 0.5000 0.5000
3 Mg 0.2500 0.2500 0.2500
4 Sn 0.7500 0.7500 0.7500

No. 10
The following is a PBE calculation of a geometry-optimized Pr4Mg5Sc structure, from Alexandria via LeMat-Bulk.

## Properties
**Formation energy**: -0.088 eV per atom

a b c (Å): 3.8382 3.8382 19.3998
angles (deg): 90.00 90.00 90.00
Sites, in units of the cell vectors:
1 Pr 0.0000 0.0000 0.1896
2 Pr 0.0000 0.0000 0.3958
3 Pr 0.0000 0.0000 0.6042
4 Pr 0.0000 0.0000 0.8104
5 Mg 0.5000 0.5000 0.0846
6 Mg 0.5000 0.5000 0.2928
7 Mg 0.5000 0.5000 0.5000
8 Mg 0.5000 0.5000 0.7072
9 Mg 0.5000 0.5000 0.9154
10 Sc 0.0000 0.0000 0.0000

No. 11
The following is a PBE calculation of a geometry-optimized SmLuZnNi structure, from Alexandria via LeMat-Bulk.

## Properties
**Formation energy**: -0.328 eV per atom

a b c (Å): 4.9115 4.9115 4.9115
angles (deg): 60.00 60.00 60.00
Sites, in units of the cell vectors:
1 Ni 0.7500 0.7500 0.7500
2 Zn 0.2500 0.2500 0.2500
3 Lu 0.5000 0.5000 0.5000
4 Sm 0.0000 0.0000 0.0000

No. 12
The following is a PBE calculation of a geometry-optimized ScCd2Ni2 structure, from Alexandria via LeMat-Bulk.

## Properties
**Formation energy**: 0.110 eV per atom
**ΔE to the lowest computed polymorph**: 265 meV/atom

a b c (Å): 3.7806 3.7806 6.8618
angles (deg): 74.01 74.01 90.00
Sites, in units of the cell vectors:
1 Sc 0.0000 0.0000 0.0000
2 Ni 0.7500 0.2500 0.5000
3 Ni 0.2500 0.7500 0.5000
4 Cd 0.3887 0.3887 0.2226
5 Cd 0.6113 0.6113 0.7774

No. 13
The following is a PBE calculation of a geometry-optimized Li2CaMn structure, from Alexandria via LeMat-Bulk.

## Properties
**Formation energy**: 0.337 eV per atom
**ΔE to the lowest computed polymorph**: 39 meV/atom

a b c (Å): 3.4546 3.6847 7.0184
angles (deg): 90.00 90.00 90.00
Last column: magnetic moment on the atom in μB.
Sites, in units of the cell vectors:
1 Ca 0.5000 0.5000 0.7500  -0.02
2 Li 0.0000 0.0000 0.0580  -0.04
3 Li 0.0000 0.0000 0.4420  -0.04
4 Mn 0.5000 0.5000 0.2500  3.96

No. 14
The following is a PBE calculation of a geometry-optimized Pt2RhI structure, from Alexandria via LeMat-Bulk.

## Properties
**Formation energy (no corrections)**: 0.46 eV per atom
**ΔE to the lowest computed polymorph**: 0 meV/atom

a b c (Å): 7.4249 7.4249 5.9078
angles (deg): 51.07 51.07 90.00
Sites, in units of the cell vectors:
1 I 0.0000 0.0000 0.0000
2 I 0.7500 0.2500 0.5000
3 Rh 0.5000 0.5000 0.0000
4 Rh 0.2500 0.7500 0.5000
5 Pt 0.6216 0.1250 0.2500
6 Pt 0.1284 0.6250 0.2500
7 Pt 0.3750 0.3784 0.7500
8 Pt 0.8750 0.8716 0.7500

No. 15
The following is a PBE calculation of a geometry-optimized SbTeRh2 structure, from Alexandria via LeMat-Bulk.

## Properties
**Formation energy (no corrections)**: -0.09 eV per atom

a b c (Å): 6.8562 6.8562 6.8562
angles (deg): 153.55 142.61 46.39
Sites, in units of the cell vectors:
1 Sb 0.4938 0.4938 0.0000
2 Te 0.7576 0.2576 0.5000
3 Rh 0.9414 0.9414 0.0000
4 Rh 0.3072 0.8072 0.5000

No. 16
The following is a PBE calculation of a geometry-optimized SmH6Pt structure, from Alexandria via LeMat-Bulk.

a b c (Å): 6.2044 4.2280 4.2280
angles (deg): 96.55 120.13 120.13
Sites, in units of the cell vectors:
1 Sm 0.5000 0.0000 0.0000
2 H 0.7049 0.0019 0.6436
3 H 0.7049 0.6436 0.0019
4 H 0.2951 0.3564 0.9981
5 H 0.2951 0.9981 0.3564
6 H 0.9299 0.6444 0.6444
7 H 0.0701 0.3556 0.3556
8 Pt 0.0000 0.0000 0.0000

No. 17
The following is a PBE calculation of a geometry-optimized Li3BePd6 structure, from Alexandria via LeMat-Bulk.

## Properties
**Formation energy**: -0.298 eV per atom
**ΔE to the lowest computed polymorph**: 81 meV/atom

a b c (Å): 6.9863 6.9863 6.9863
angles (deg): 105.63 105.63 105.63
Sites, in units of the cell vectors:
1 Li 0.5279 0.9174 0.8016
2 Li 0.9174 0.8016 0.5279
3 Li 0.1984 0.4721 0.0826
4 Li 0.8016 0.5279 0.9174
5 Li 0.0826 0.1984 0.4721
6 Li 0.4721 0.0826 0.1984
7 Be 0.0000 0.0000 0.0000
8 Be 0.5000 0.5000 0.5000
9 Pd 0.1391 0.8575 0.2583
10 Pd 0.1425 0.7417 0.8609
11 Pd 0.5266 0.8135 0.4068
12 Pd 0.7417 0.8609 0.1425
13 Pd 0.4068 0.5266 0.8135
14 Pd 0.1865 0.5932 0.4734
15 Pd 0.8135 0.4068 0.5266
16 Pd 0.5932 0.4734 0.1865
17 Pd 0.2583 0.1391 0.8575
18 Pd 0.4734 0.1865 0.5932
19 Pd 0.8575 0.2583 0.1391
20 Pd 0.8609 0.1425 0.7417

No. 18
The following is a PBE calculation of a geometry-optimized TaTl2Se structure, from Alexandria via LeMat-Bulk.

## Properties
**Formation energy (no corrections)**: 0.60 eV per atom
**ΔE to the lowest computed polymorph**: 661 meV/atom

a b c (Å): 3.2762 3.2762 9.2693
angles (deg): 90.00 90.00 112.98
Sites, in units of the cell vectors:
1 Se 0.5000 0.5000 0.2500
2 Ta 0.5000 0.5000 0.7500
3 Tl 0.0000 0.0000 0.0027
4 Tl 0.0000 0.0000 0.4973

No. 19
The following is a PBE calculation of a geometry-optimized Pr4NiI2N structure, from Alexandria via LeMat-Bulk.

## Properties
**Formation energy (no corrections)**: -0.87 eV per atom

a b c (Å): 3.9037 7.1128 8.2849
angles (deg): 106.61 90.00 90.00
Sites, in units of the cell vectors:
1 Pr 0.5000 0.2383 0.1796
2 Pr 0.5000 0.7617 0.8204
3 Pr 0.0000 0.3044 0.8240
4 Pr 0.0000 0.6956 0.1760
5 Ni 0.0000 0.0000 0.0000
6 I 0.5000 0.0000 0.5000
7 I 0.0000 0.5000 0.5000
8 N 0.5000 0.5000 0.0000

No. 20
The following is a PBE calculation of a geometry-optimized GeMo3H structure, from Alexandria via LeMat-Bulk.

## Properties
**ΔE to the lowest computed polymorph**: 0 meV/atom

a b c (Å): 4.0121 4.0121 4.0121
angles (deg): 90.00 90.00 90.00
Sites, in units of the cell vectors:
1 H 0.0000 0.0000 0.0000
2 Mo 0.0000 0.5000 0.0000
3 Mo 0.0000 0.0000 0.5000
4 Mo 0.5000 0.0000 0.0000
5 Ge 0.5000 0.5000 0.5000

No. 21
The following is a PBE calculation of a geometry-optimized AcSnPt structure, from Alexandria via LeMat-Bulk.

## Properties
**Formation energy**: -0.967 eV per atom
**ΔE to the lowest computed polymorph**: 0 meV/atom

a b c (Å): 4.1740 4.7626 4.7626
angles (deg): 120.00 90.00 90.00
Sites, in units of the cell vectors:
1 Ac 0.6667 0.3333 0.6667
2 Sn 0.1667 0.0000 0.0000
3 Pt 0.1666 0.6667 0.3333

No. 22
The following is a PBE calculation of a geometry-optimized Y2BrCl structure, from Alexandria via LeMat-Bulk.

## Properties
**Formation energy (no corrections)**: -1.05 eV per atom
**ΔE to the lowest computed polymorph**: 240 meV/atom

a b c (Å): 3.6970 3.6970 9.5389
angles (deg): 90.00 90.00 123.99
Sites, in units of the cell vectors:
1 Y 0.0000 0.0000 0.9934
2 Y 0.0000 0.0000 0.5066
3 Br 0.5000 0.5000 0.2500
4 Cl 0.5000 0.5000 0.7500

No. 23
The following is a PBE calculation of a geometry-optimized P2RuSeN structure, from Alexandria via LeMat-Bulk.

## Properties
**Formation energy (no corrections)**: 0.08 eV per atom
**ΔE to the lowest computed polymorph**: 144 meV/atom

a b c (Å): 2.8618 4.7764 6.2986
angles (deg): 67.35 89.96 72.53
Sites, in units of the cell vectors:
1 P 0.6531 0.2642 0.4327
2 P 0.3459 0.8806 0.1713
3 Ru 0.2500 0.0703 0.7681
4 Se 0.5087 0.5557 0.7270
5 N 0.7699 0.0318 0.2630

No. 24
The following is a PBE calculation of a geometry-optimized ZnSb2Ir structure, from Alexandria via LeMat-Bulk.

## Properties
**Formation energy (no corrections)**: 0.34 eV per atom
**ΔE to the lowest computed polymorph**: 407 meV/atom

a b c (Å): 5.2744 5.2744 5.2744
angles (deg): 132.01 132.01 70.21
Sites, in units of the cell vectors:
1 Ir 0.7500 0.2500 0.5000
2 Sb 0.0000 0.0000 0.0000
3 Sb 0.2500 0.7500 0.5000
4 Zn 0.5000 0.5000 0.0000

No. 25
The following is a PBE calculation of a geometry-optimized La8SnPb2 structure, from Alexandria via LeMat-Bulk.

## Properties
**Formation energy**: -0.358 eV per atom

a b c (Å): 5.5729 7.0861 10.4038
angles (deg): 106.30 105.54 90.00
Last column: magnetic moment on the atom in μB.
Sites, in units of the cell vectors:
1 La 0.4095 0.5216 0.8190  0.00
2 La 0.6590 0.9996 0.3181  0.04
3 La 0.7838 0.6847 0.5676  0.12
4 La 0.9967 0.2377 0.9935  0.01
5 La 0.2162 0.3153 0.4324  0.12
6 La 0.3410 0.0004 0.6819  0.04
7 La 0.5905 0.4784 0.1810  0.00
8 La 0.0033 0.7623 0.0065  0.01
9 Sn 0.5000 0.0000 0.0000  0.00
10 Pb 0.8296 0.2574 0.6591  -0.01
11 Pb 0.1704 0.7426 0.3409  -0.01

No. 26
The following is a PBE calculation of a geometry-optimized TcPbBr2 structure, from Alexandria via LeMat-Bulk.

## Properties
**Formation energy (no corrections)**: 0.20 eV per atom
**ΔE to the lowest computed polymorph**: 180 meV/atom

a b c (Å): 8.9830 8.9830 6.9155
angles (deg): 49.50 49.50 90.00
Last column: magnetic moment on the atom in μB.
Sites, in units of the cell vectors:
1 Pb 0.0000 0.0000 0.0000  0.01
2 Pb 0.7500 0.2500 0.5000  0.00
3 Tc 0.5000 0.5000 0.0000  0.72
4 Tc 0.2500 0.7500 0.5000  0.73
5 Br 0.4956 0.1250 0.2500  0.04
6 Br 0.2544 0.6250 0.2500  0.04
7 Br 0.3750 0.5044 0.7500  0.04
8 Br 0.8750 0.7456 0.7500  0.04

Number 1: total energy -42.64 eV for the cell shown. Number 2: total energy -58.66 eV for the cell shown. Number 3: total energy -17.53 eV for the cell shown. Number 4: total energy -56.57 eV for the cell shown. Number 5: total energy -94.83 eV for the cell shown. Number 6: total energy -18.09 eV for the cell shown. Number 7: total energy -8.30 eV for the cell shown. Number 8: total energy -44.39 eV for the cell shown. Number 9: total energy -24.69 eV for the cell shown. Number 10: total energy -34.31 eV for the cell shown. Number 11: total energy -17.61 eV for the cell shown. Number 12: total energy -19.17 eV for the cell shown. Number 13: total energy -13.65 eV for the cell shown. Number 14: total energy -38.25 eV for the cell shown. Number 15: total energy -22.31 eV for the cell shown. Number 16: total energy -33.44 eV for the cell shown. Number 17: total energy -87.20 eV for the cell shown. Number 18: total energy -17.66 eV for the cell shown. Number 19: total energy -43.27 eV for the cell shown. Number 20: total energy -39.70 eV for the cell shown. Number 21: total energy -17.05 eV for the cell shown. Number 22: total energy -20.63 eV for the cell shown. Number 23: total energy -31.51 eV for the cell shown. Number 24: total energy -17.00 eV for the cell shown. Number 25: total energy -54.77 eV for the cell shown. Number 26: total energy -33.26 eV for the cell shown.